# 1
First-principles (PBE-GGA) data for Ti4Mn3Os after structural relaxation, as listed in the Alexandria database.

**Space group**: P4/mmm, No. 123

a b c (Å): 3.0227 3.0227 12.0551
angles (deg): 90.00 90.00 90.00
Sites, in units of the cell vectors:
1 Ti 0.0000 0.0000 0.1239
2 Ti 0.0000 0.0000 0.3693
3 Ti 0.0000 0.0000 0.6307
4 Ti 0.0000 0.0000 0.8761
5 Mn 0.5000 0.5000 0.0000
6 Mn 0.5000 0.5000 0.2453
7 Mn 0.5000 0.5000 0.7547
8 Os 0.5000 0.5000 0.5000

# 2
First-principles (PBE-GGA) data for TiMnOs2 after structural relaxation, as listed in the Alexandria database.

**Space group**: Fm-3m, No. 225

a b c (Å): 6.0984 6.0984 6.0984
angles (deg): 90.00 90.00 90.00
Sites, in units of the cell vectors:
1 Ti 0.0000 0.0000 0.0000
2 Ti 0.0000 0.5000 0.5000
3 Ti 0.5000 0.0000 0.5000
4 Ti 0.5000 0.5000 0.0000
5 Mn 0.0000 0.0000 0.5000
6 Mn 0.0000 0.5000 0.0000
7 Mn 0.5000 0.0000 0.0000
8 Mn 0.5000 0.5000 0.5000
9 Os 0.2500 0.2500 0.2500
10 Os 0.2500 0.2500 0.7500
11 Os 0.2500 0.7500 0.2500
12 Os 0.2500 0.7500 0.7500
13 Os 0.7500 0.2500 0.2500
14 Os 0.7500 0.2500 0.7500
15 Os 0.7500 0.7500 0.2500
16 Os 0.7500 0.7500 0.7500

# 3
First-principles (PBE-GGA) data for Ti2MnOs2 after structural relaxation, as listed in the Alexandria database.

**Space group**: P4/mbm, No. 127

a b c (Å): 7.2162 7.2162 3.0584
angles (deg): 90.00 90.00 90.00
Sites, in units of the cell vectors:
1 Ti 0.1549 0.3451 0.0000
2 Ti 0.3451 0.8451 0.0000
3 Ti 0.6549 0.1549 0.0000
4 Ti 0.8451 0.6549 0.0000
5 Mn 0.0000 0.0000 0.5000
6 Mn 0.5000 0.5000 0.5000
7 Os 0.1438 0.6438 0.5000
8 Os 0.3562 0.1438 0.5000
9 Os 0.6438 0.8562 0.5000
10 Os 0.8562 0.3562 0.5000

# 4
First-principles (PBE-GGA) data for TiMn4Os after structural relaxation, as listed in the Alexandria database.

**Space group**: F-43m, No. 216

a b c (Å): 4.6905 4.6905 4.6905
angles (deg): 60.00 60.00 60.00
Sites, in units of the cell vectors:
1 Ti 0.0000 0.0000 0.0000
2 Mn 0.3723 0.3723 0.3723
3 Mn 0.3723 0.3723 0.8832
4 Mn 0.3723 0.8832 0.3723
5 Mn 0.8832 0.3723 0.3723
6 Os 0.7500 0.7500 0.7500

# 5
First-principles (PBE-GGA) data for TiMn2Os after structural relaxation, as listed in the Alexandria database.

**Relative energy among the computed polymorphs**: 525 meV/atom
**Space group**: I-42d, No. 122

a b c (Å): 6.7658 6.7658 5.1587
angles (deg): 90.00 90.00 90.00
Sites, in units of the cell vectors:
1 Ti 0.0000 0.0000 0.0000
2 Ti 0.0000 0.5000 0.2500
3 Ti 0.5000 0.0000 0.7500
4 Ti 0.5000 0.5000 0.5000
5 Mn 0.2324 0.7500 0.6250
6 Mn 0.2500 0.2324 0.3750
7 Mn 0.2500 0.2676 0.8750
8 Mn 0.2676 0.7500 0.1250
9 Mn 0.7324 0.2500 0.1250
10 Mn 0.7500 0.7324 0.8750
11 Mn 0.7500 0.7676 0.3750
12 Mn 0.7676 0.2500 0.6250
13 Os 0.0000 0.0000 0.5000
14 Os 0.0000 0.5000 0.7500
15 Os 0.5000 0.0000 0.2500
16 Os 0.5000 0.5000 0.0000

# 6
First-principles (PBE-GGA) data for TiMn2Os2 after structural relaxation, as listed in the Alexandria database.

**Relative energy among the computed polymorphs**: 0 meV/atom
**Space group**: P4/mbm, No. 127

a b c (Å): 7.1784 7.1784 2.6529
angles (deg): 90.00 90.00 90.00
Sites, in units of the cell vectors:
1 Ti 0.0000 0.0000 0.0000
2 Ti 0.5000 0.5000 0.0000
3 Mn 0.1194 0.3806 0.0000
4 Mn 0.3806 0.8806 0.0000
5 Mn 0.6194 0.1194 0.0000
6 Mn 0.8806 0.6194 0.0000
7 Os 0.1745 0.6745 0.5000
8 Os 0.3255 0.1745 0.5000
9 Os 0.6745 0.8255 0.5000
10 Os 0.8255 0.3255 0.5000

# 7
First-principles (PBE-GGA) data for TiMn2Os after structural relaxation, as listed in the Alexandria database.

**Relative energy among the computed polymorphs**: 0 meV/atom
**Space group**: P4/mmm, No. 123

a b c (Å): 4.2616 4.2616 2.9079
angles (deg): 90.00 90.00 90.00
Sites, in units of the cell vectors:
1 Ti 0.0000 0.0000 0.0000
2 Mn 0.0000 0.5000 0.5000
3 Mn 0.5000 0.0000 0.5000
4 Os 0.5000 0.5000 0.0000

# 8
First-principles (PBE-GGA) data for TiMn2Os after structural relaxation, as listed in the Alexandria database.

**Relative energy among the computed polymorphs**: 37 meV/atom
**Space group**: Fm-3m, No. 225

a b c (Å): 5.9019 5.9019 5.9019
angles (deg): 90.00 90.00 90.00
Sites, in units of the cell vectors:
1 Ti 0.0000 0.0000 0.0000
2 Ti 0.0000 0.5000 0.5000
3 Ti 0.5000 0.0000 0.5000
4 Ti 0.5000 0.5000 0.0000
5 Mn 0.2500 0.2500 0.2500
6 Mn 0.2500 0.2500 0.7500
7 Mn 0.2500 0.7500 0.2500
8 Mn 0.2500 0.7500 0.7500
9 Mn 0.7500 0.2500 0.2500
10 Mn 0.7500 0.2500 0.7500
11 Mn 0.7500 0.7500 0.2500
12 Mn 0.7500 0.7500 0.7500
13 Os 0.0000 0.0000 0.5000
14 Os 0.0000 0.5000 0.0000
15 Os 0.5000 0.0000 0.0000
16 Os 0.5000 0.5000 0.5000

| no. | energy of formation from the pure elements (eV per atom) |
| --- | --- |
| 1 | -0.3671 |
| 2 | -0.2341 |
| 3 | -0.0711 |
| 4 | -0.1396 |
| 5 | 0.4214 |
| 6 | -0.0256 |
| 7 | -0.1033 |
| 8 | -0.0668 |